Record 1
! TmSi2Rh4 (GGA-PBE, optimized geometry); values from VASP
! formation energy (no corrections)	-6.55	eV/f.u.
&SYSTEM
  ibrav = 0, nat = 28, ntyp = 3
/
ATOMIC_SPECIES
Tm 168.93 Tm.upf
Si 28.09 Si.upf
Rh 102.91 Rh.upf
CELL_PARAMETERS angstrom
16.6117 0.0000 0.0000
0.0000 4.0234 0.0000
0.0000 0.0000 6.3627
ATOMIC_POSITIONS angstrom
Tm 2.2920 1.0059 0.0379
Tm 6.0138 3.0176 3.2192
Tm 10.5979 1.0059 3.1435
Tm 14.3197 3.0176 6.3248
Si 0.6510 3.0176 1.6509
Si 3.6228 1.0059 3.3359
Si 4.6830 3.0176 0.1546
Si 7.6548 1.0059 4.8322
Si 8.9569 3.0176 1.5305
Si 11.9286 1.0059 6.2081
Si 12.9889 3.0176 3.0268
Si 15.9607 1.0059 4.7118
Rh 0.4995 3.0176 5.4451
Rh 1.2477 1.0059 3.2030
Rh 3.0540 3.0176 1.9626
Rh 3.2336 3.0176 4.6547
Rh 5.0722 1.0059 1.4733
Rh 5.2518 1.0059 5.1439
Rh 7.0581 3.0176 0.0217
Rh 7.8063 1.0059 2.2637
Rh 8.8054 3.0176 4.0989
Rh 9.5536 1.0059 6.3410
Rh 11.3599 3.0176 1.2188
Rh 11.5395 3.0176 4.8893
Rh 13.3781 1.0059 1.7080
Rh 13.5576 1.0059 4.4001
Rh 15.3639 3.0176 3.1596
Rh 16.1121 1.0059 0.9176

***

Record 2
Zn2TcNi | GGA-PBE | optimized geometry Values from VASP.

Geometry as Quantum ESPRESSO input:
```
&SYSTEM
  ibrav = 0, nat = 4, ntyp = 3
/
ATOMIC_SPECIES
Zn 65.41 Zn.upf
Tc 98.00 Tc.upf
Ni 58.69 Ni.upf
CELL_PARAMETERS angstrom
2.6399 0.0000 0.0000
0.0000 3.7072 0.0000
0.0000 0.0000 5.4566
ATOMIC_POSITIONS angstrom
Zn 0.0000 0.0000 0.0000
Zn 1.3200 1.8536 1.3792
Tc 1.3200 1.8536 4.0081
Ni 0.0000 0.0000 2.7321
```

***

Record 3
InGe2Mo2 | GGA-PBE | optimized geometry Values from VASP.

Geometry as Quantum ESPRESSO input:
```
&SYSTEM
  ibrav = 0, nat = 10, ntyp = 3
/
ATOMIC_SPECIES
In 114.82 In.upf
Ge 72.64 Ge.upf
Mo 95.94 Mo.upf
CELL_PARAMETERS angstrom
7.2406 0.0000 0.0000
0.0000 7.2406 0.0000
0.0000 0.0000 3.3048
ATOMIC_POSITIONS angstrom
In 0.0000 0.0000 0.0000
In 3.6203 3.6203 0.0000
Ge 1.0778 2.5425 1.6524
Ge 2.5425 6.1627 1.6524
Ge 4.6981 1.0778 1.6524
Ge 6.1627 4.6981 1.6524
Mo 1.0289 4.6492 0.0000
Mo 2.5914 1.0289 0.0000
Mo 4.6492 6.2117 0.0000
Mo 6.2117 2.5914 0.0000
```

***

Record 4
KBa2SnPd | GGA-PBE | optimized geometry Values from VASP.

Geometry as Quantum ESPRESSO input:
```
&SYSTEM
  ibrav = 0, nat = 5, ntyp = 4
/
ATOMIC_SPECIES
K 39.10 K.upf
Ba 137.33 Ba.upf
Sn 118.71 Sn.upf
Pd 106.42 Pd.upf
CELL_PARAMETERS angstrom
6.3084 0.0000 0.0000
0.0000 6.3084 0.0000
0.0000 0.0000 5.2813
ATOMIC_POSITIONS angstrom
K 0.0000 0.0000 0.0000
Ba 0.0000 3.1542 2.6406
Ba 3.1542 0.0000 2.6406
Sn 3.1542 3.1542 0.0000
Pd 3.1542 3.1542 2.6406
```

***

Record 5
! Rb2ScCuI6 (GGA-PBE, optimized geometry); values from VASP
! formation energy (no corrections)	-10.44	eV/f.u.
&SYSTEM
  ibrav = 0, nat = 10, ntyp = 4
/
ATOMIC_SPECIES
Rb 85.47 Rb.upf
Sc 44.96 Sc.upf
Cu 63.55 Cu.upf
I 126.90 I.upf
CELL_PARAMETERS angstrom
-4.0588 4.0588 5.9428
4.0588 -4.0588 5.9428
4.0588 4.0588 -5.9428
ATOMIC_POSITIONS angstrom
Rb 4.0588 0.0000 2.9714
Rb 0.0000 4.0588 2.9714
Sc 0.0000 0.0000 0.0000
Cu 0.0000 0.0000 5.9428
I 0.0000 0.0000 2.9020
I 2.0611 2.0611 0.0000
I 1.9977 -1.9977 5.9428
I -1.9977 1.9977 5.9428
I 1.9977 1.9977 5.9428
I 0.0000 0.0000 8.9836

***

Record 6
Th5Sc3H12 | GGA-PBE | optimized geometry Values from VASP.

Geometry as Quantum ESPRESSO input:
```
&SYSTEM
  ibrav = 0, nat = 80, ntyp = 3
/
ATOMIC_SPECIES
Th 232.04 Th.upf
Sc 44.96 Sc.upf
H 1.01 H.upf
CELL_PARAMETERS angstrom
-6.5286 6.5286 6.5286
6.5286 -6.5286 6.5286
6.5286 6.5286 -6.5286
ATOMIC_POSITIONS angstrom
Th 0.0000 0.0000 0.0000
Th 3.2643 3.2643 -3.2643
Th 3.2643 -3.2643 3.2643
Th 6.5286 0.0000 0.0000
Th 9.7929 1.6322 0.0000
Th 6.5286 -3.2643 4.8965
Th 4.8965 6.5286 -3.2643
Th 4.8965 0.0000 3.2643
Th 3.2643 4.8965 0.0000
Th 6.5286 3.2643 1.6322
Th -3.2643 3.2643 3.2643
Th 0.0000 6.5286 0.0000
Th 0.0000 0.0000 6.5286
Th 3.2643 3.2643 3.2643
Th 0.0000 3.2643 4.8965
Th 3.2643 1.6322 6.5286
Th 1.6322 6.5286 3.2643
Th 1.6322 0.0000 9.7929
Th 0.0000 9.7929 1.6322
Th -3.2643 4.8965 6.5286
Sc 3.2643 1.6322 0.0000
Sc 6.5286 3.2643 -1.6322
Sc 1.6322 0.0000 3.2643
Sc 8.1608 0.0000 3.2643
Sc 0.0000 3.2643 1.6322
Sc 3.2643 -1.6322 6.5286
Sc 3.2643 8.1608 0.0000
Sc 6.5286 3.2643 4.8965
Sc -1.6322 6.5286 3.2643
Sc 4.8965 6.5286 3.2643
Sc 0.0000 3.2643 8.1608
Sc 3.2643 4.8965 6.5286
H 8.6275 -0.1355 0.9075
H 7.6940 -2.3569 3.1288
H 2.0989 0.1355 0.9075
H 7.6940 4.1718 -3.1288
H 6.6641 -0.9075 2.0989
H 9.6575 -1.1654 2.3569
H 4.1718 3.1288 -1.1654
H 5.6212 2.0989 -0.1355
H 0.9075 2.0989 0.1355
H 8.8855 3.3998 -1.1654
H 0.1355 0.9075 2.0989
H 3.1288 -1.1654 4.1718
H 6.6641 5.6212 -2.0989
H 3.1288 1.1654 2.3569
H 2.3569 3.1288 1.1654
H 7.4361 4.4297 -0.1355
H 4.1718 -3.1288 7.6940
H 5.6212 -2.0989 6.6641
H 3.1288 7.6940 -2.3569
H 6.6641 0.9075 4.4297
H 1.1654 2.3569 3.1288
H 2.0989 -0.1355 5.6212
H 2.0989 6.6641 -0.9075
H 7.6940 2.3569 3.3998
H -1.1654 4.1718 3.1288
H 4.4297 -0.1355 7.4361
H 4.4297 6.6641 0.9075
H 5.3632 4.1718 3.3998
H -0.1355 5.6212 2.0989
H 3.3998 -1.1654 8.8855
H 0.9075 8.6275 -0.1355
H 2.3569 9.6575 -1.1654
H -0.9075 2.0989 6.6641
H 4.1718 3.3998 5.3632
H 3.3998 5.3632 4.1718
H -0.1355 0.9075 8.6275
H 3.3998 7.6940 2.3569
H 6.3932 5.6212 4.4297
H -2.3569 3.1288 7.6940
H 5.6212 4.4297 6.3932
H 0.9075 4.4297 6.6641
H 2.3569 3.3998 7.6940
H -3.1288 7.6940 4.1718
H -0.1355 7.4361 4.4297
H -1.1654 2.3569 9.6575
H 4.4297 6.3932 5.6212
H -1.1654 8.8855 3.3998
H -2.0989 6.6641 5.6212
```

***

Number 1: volume 106.3 Å³/f.u., electronic total energy -205.09 eV per cell. Number 2: volume 53.4 Å³/f.u., electronic total energy -18.55 eV per cell. Number 3: volume 86.6 Å³/f.u., electronic total energy -66.33 eV per cell. Number 4: volume 210.2 Å³/f.u., electronic total energy -15.86 eV per cell. Number 5: volume 391.6 Å³/f.u., electronic total energy -32.11 eV per cell. Number 6: volume 278.3 Å³/f.u., electronic total energy -412.03 eV per cell.